Compound: KBa2PuO5
Source: Alexandria
Functional: PBE-GGA
Structure: optimized geometry

Properties
Calculated total energy   -7.467 eV/atom
Formation energy (no corrections)   -2232 kJ/mol of formula units
Total magnetic moment   3.000 μB/f.u.

Lattice parameters (Å, degrees): 4.357 6.590 7.384 116.50 107.16 90.00
Site moments in Bohr magnetons follow the coordinates.
Atoms (fractional coordinates):
O1 0.372 0.655 0.744  -0.07
O2 0.000 0.000 0.000  -0.09
K1 0.000 0.500 0.000  0.00
Pu1 0.500 0.000 0.000  3.35
O3 0.628 0.345 0.256  -0.07
O4 0.628 0.911 0.256  -0.07
Ba1 0.777 0.777 0.553  0.00
Ba2 0.223 0.223 0.447  0.00
O5 0.372 0.089 0.744  -0.07